First-principles (PBE with a Hubbard U) data for a geometry-optimized Ni2WO2 structure, as listed in Alexandria.

Values from the calculation:
For the distance to the lowest polymorph of the same formula, the calculation gives 2.93 kcal/mol of atoms. The space-group type is P4/mbm (127). Its density is 8.763 g cm⁻³.

Cell lengths 6.5617, 6.5617, 2.9332 Å; angles 90.00, 90.00, 90.00 degrees
Site moments in Bohr magnetons follow the coordinates.
Atoms (fractional coordinates):
O (0.7856, 0.2856, 0.5000)  0.10
O (0.2144, 0.7144, 0.5000)  0.10
O (0.7144, 0.7856, 0.5000)  0.09
O (0.2856, 0.2144, 0.5000)  0.09
Ni (0.8646, 0.6354, 0.0000)  1.02
Ni (0.3646, 0.8646, 0.0000)  1.02
Ni (0.1354, 0.3646, 0.0000)  1.02
Ni (0.6354, 0.1354, 0.0000)  1.02
W (0.5000, 0.5000, 0.0000)  3.11
W (0.0000, 0.0000, 0.0000)  3.11